(1)
K5Na4Hg4 | PBE-GGA | optimized geometry

Summary:
space group: I4/m
raw total energy: -1.090 eV/atom
energy relative to the elements: -16.4 kJ/mol of atoms

Lattice parameters (Å, degrees): 10.2494 10.2494 10.2494 93.68 93.68 150.65
Fractional coordinates of all 13 atoms:
1 K 0.0000 0.0000 0.0000
2 K 0.2969 0.3660 0.6630
3 K 0.3660 0.7031 0.0691
4 K 0.6340 0.2969 0.9309
5 K 0.7031 0.6340 0.3370
6 Na 0.1068 0.5751 0.6820
7 Na 0.4249 0.1068 0.5317
8 Na 0.5751 0.8932 0.4683
9 Na 0.8932 0.4249 0.3180
10 Hg 0.0540 0.2582 0.3122
11 Hg 0.2582 0.9460 0.2043
12 Hg 0.7418 0.0540 0.7957
13 Hg 0.9460 0.7418 0.6878



(2)
Sr2Ca6IrPd | PBE-GGA | optimized geometry

Summary:
space group: Fm-3m
raw total energy: -3.200 eV/atom
energy relative to the elements: -24.9 kJ/mol of atoms

Lattice parameters (Å, degrees): 8.0774 8.0774 8.0774 60.00 60.00 60.00
Fractional coordinates of all 10 atoms:
1 Sr 0.2500 0.2500 0.2500
2 Sr 0.7500 0.7500 0.7500
3 Ca 0.2453 0.2453 0.7547
4 Ca 0.2453 0.7547 0.2453
5 Ca 0.2453 0.7547 0.7547
6 Ca 0.7547 0.2453 0.2453
7 Ca 0.7547 0.2453 0.7547
8 Ca 0.7547 0.7547 0.2453
9 Ir 0.0000 0.0000 0.0000
10 Pd 0.5000 0.5000 0.5000



(3)
Rb2MgTl | PBE-GGA | optimized geometry

Summary:
space group: Fm-3m
raw total energy: -1.262 eV/atom
energy relative to the elements: 20.5 kJ/mol of atoms

Lattice parameters (Å, degrees): 6.4366 6.4366 6.4366 60.00 60.00 60.00
Fractional coordinates of all 4 atoms:
1 Rb 0.2500 0.2500 0.2500
2 Rb 0.7500 0.7500 0.7500
3 Mg 0.0000 0.0000 0.0000
4 Tl 0.5000 0.5000 0.5000



(4)
La3NdSm2Y6 | PBE-GGA | optimized geometry

Summary:
space group: C2/m
raw total energy: -5.637 eV/atom
energy relative to the elements: 1.0 kJ/mol of atoms

Lattice parameters (Å, degrees): 6.3122 6.3122 11.9154 95.06 95.06 120.00
Fractional coordinates of all 12 atoms:
1 La 0.0000 0.0000 0.0000
2 La 0.3333 0.6667 0.0000
3 La 0.6667 0.3333 0.0000
4 Nd 0.5000 0.5000 0.5000
5 Sm 0.1667 0.8333 0.5000
6 Sm 0.8333 0.1667 0.5000
7 Y 0.0842 0.4178 0.2528
8 Y 0.2487 0.2487 0.7473
9 Y 0.4178 0.0842 0.2528
10 Y 0.5822 0.9158 0.7472
11 Y 0.7513 0.7513 0.2527
12 Y 0.9158 0.5822 0.7472



(5)
NbFeCo2S | PBE-GGA | optimized geometry

Summary:
space group: P4/mmm
raw total energy: -5.721 eV/atom

Lattice parameters (Å, degrees): 4.5080 4.5080 4.5611 90.00 90.00 90.00
Fractional coordinates of all 5 atoms:
1 Nb 0.0000 0.0000 0.0000
2 Fe 0.0000 0.0000 0.5000
3 Co 0.0000 0.5000 0.0000
4 Co 0.5000 0.0000 0.0000
5 S 0.5000 0.5000 0.5000



N(E_F)? In order: 0.5935 0.7907 1.6200 1.2500 1.1380 states/eV per atom.